No. 1
Li3CaAg after structural relaxation. Source: the Alexandria database, functional PBE.

Calculated volume = 24.957 Å³ per atom
Total energy = -2.111 eV/atom
Energy relative to the lowest polymorph listed for this composition = 115.7 meV/atom
N(E_F) = 0.5921 states/eV/atom
Energy of formation = 7 meV per atom

abc: 4.997 4.997 4.997
angles: 90.00 90.00 90.00
Element x y z (fractional)
Li 0.000 0.000 0.500
Li 0.000 0.500 0.000
Li 0.500 0.000 0.000
Ca 0.500 0.500 0.500
Ag 0.000 0.000 0.000

=====

No. 2
Li2Ca3Ag7 after structural relaxation. Source: the Alexandria database, functional PBE.

Calculated volume = 21.513 Å³ per atom
Total energy = -2.727 eV/atom
N(E_F) = 0.5316 states/eV/atom
Energy of formation = -245 meV per atom

abc: 9.469 9.469 9.469
angles: 35.67 35.67 35.67
Element x y z (fractional)
Li 0.167 0.167 0.167
Li 0.833 0.833 0.833
Ca 0.361 0.361 0.361
Ca 0.500 0.500 0.500
Ca 0.639 0.639 0.639
Ag 0.000 0.000 0.000
Ag 0.082 0.082 0.577
Ag 0.082 0.577 0.082
Ag 0.423 0.918 0.918
Ag 0.577 0.082 0.082
Ag 0.918 0.423 0.918
Ag 0.918 0.918 0.423

=====

No. 3
Li2CaAg2 after structural relaxation. Source: the Alexandria database, functional PBE.

Calculated volume = 21.734 Å³ per atom
Total energy = -2.523 eV/atom
Energy relative to the lowest polymorph listed for this composition = 0.0 meV/atom
N(E_F) = 0.3749 states/eV/atom
Energy of formation = -216 meV per atom

abc: 4.188 4.188 6.196
angles: 90.00 90.00 90.00
Element x y z (fractional)
Li 0.000 0.500 0.000
Li 0.500 0.000 0.000
Ca 0.000 0.000 0.500
Ag 0.500 0.500 0.274
Ag 0.500 0.500 0.726

=====

No. 4
Li2CaAg after structural relaxation. Source: the Alexandria database, functional PBE.

Calculated volume = 23.433 Å³ per atom
Total energy = -2.233 eV/atom
Energy relative to the lowest polymorph listed for this composition = 109.2 meV/atom
N(E_F) = 0.5511 states/eV/atom
Energy of formation = -63 meV per atom

abc: 3.495 5.018 5.376
angles: 90.00 96.13 90.00
Element x y z (fractional)
Li 0.189 0.000 0.292
Li 0.811 0.000 0.708
Ca 0.500 0.500 0.000
Ag 0.000 0.500 0.500

=====

No. 5
Li4CaAg4 after structural relaxation. Source: the Alexandria database, functional PBE.

Calculated volume = 18.290 Å³ per atom
Total energy = -2.500 eV/atom
N(E_F) = 0.4025 states/eV/atom
Energy of formation = -159 meV per atom

abc: 6.370 6.370 6.370
angles: 97.81 97.81 136.75
Element x y z (fractional)
Li 0.057 0.641 0.697
Li 0.359 0.057 0.416
Li 0.641 0.943 0.584
Li 0.943 0.359 0.303
Ca 0.000 0.000 0.000
Ag 0.281 0.359 0.640
Ag 0.359 0.719 0.078
Ag 0.641 0.281 0.922
Ag 0.719 0.641 0.360

=====

No. 6
Li2CaAg after structural relaxation. Source: the Alexandria database, functional PBE.

Calculated volume = 22.819 Å³ per atom
Total energy = -2.342 eV/atom
Energy relative to the lowest polymorph listed for this composition = 0.0 meV/atom
N(E_F) = 0.4687 states/eV/atom
Energy of formation = -172 meV per atom

abc: 6.532 7.412 9.954
angles: 90.00 130.75 90.00
Element x y z (fractional)
Li 0.002 0.120 0.100
Li 0.002 0.380 0.600
Li 0.295 0.614 0.891
Li 0.295 0.886 0.391
Li 0.705 0.114 0.609
Li 0.705 0.386 0.109
Li 0.998 0.620 0.400
Li 0.998 0.880 0.900
Ca 0.348 0.502 0.249
Ca 0.348 0.998 0.749
Ca 0.652 0.002 0.251
Ca 0.652 0.498 0.751
Ag 0.178 0.250 0.425
Ag 0.178 0.250 0.925
Ag 0.822 0.750 0.075
Ag 0.822 0.750 0.575

=====

No. 7
LiCa2Ag2 after structural relaxation. Source: the Alexandria database, functional PBE.

Calculated volume = 25.269 Å³ per atom
Total energy = -2.596 eV/atom
Energy relative to the lowest polymorph listed for this composition = 0.0 meV/atom
N(E_F) = 0.4289 states/eV/atom
Energy of formation = -272 meV per atom

abc: 6.130 6.130 8.108
angles: 101.91 101.91 58.59
Element x y z (fractional)
Li 0.136 0.864 0.750
Li 0.864 0.136 0.250
Ca 0.216 0.486 0.352
Ca 0.486 0.216 0.852
Ca 0.514 0.784 0.148
Ca 0.784 0.514 0.648
Ag 0.002 0.735 0.998
Ag 0.265 0.998 0.502
Ag 0.735 0.002 0.498
Ag 0.998 0.265 0.002

=====

No. 8
Li6CaAg12 after structural relaxation. Source: the Alexandria database, functional PBE.

Calculated volume = 18.283 Å³ per atom
Total energy = -2.582 eV/atom
N(E_F) = 0.1821 states/eV/atom
Energy of formation = -71 meV per atom

abc: 7.395 7.395 7.395
angles: 105.78 105.78 105.78
Element x y z (fractional)
Li 0.274 0.274 0.714
Li 0.274 0.714 0.274
Li 0.286 0.726 0.726
Li 0.714 0.274 0.274
Li 0.726 0.286 0.726
Li 0.726 0.726 0.286
Ca 0.000 0.000 0.000
Ag 0.118 0.500 0.882
Ag 0.118 0.882 0.500
Ag 0.152 0.400 0.400
Ag 0.400 0.152 0.400
Ag 0.400 0.400 0.152
Ag 0.500 0.118 0.882
Ag 0.500 0.882 0.118
Ag 0.600 0.600 0.848
Ag 0.600 0.848 0.600
Ag 0.848 0.600 0.600
Ag 0.882 0.118 0.500
Ag 0.882 0.500 0.118

=====

No. 9
Li3Ca2Ag2 after structural relaxation. Source: the Alexandria database, functional PBE.

Calculated volume = 23.642 Å³ per atom
Total energy = -2.408 eV/atom
N(E_F) = 0.4830 states/eV/atom
Energy of formation = -202 meV per atom

abc: 5.883 5.883 7.612
angles: 112.97 112.97 43.83
Element x y z (fractional)
Li 0.000 0.000 0.000
Li 0.143 0.143 0.435
Li 0.857 0.857 0.565
Ca 0.360 0.360 0.224
Ca 0.640 0.640 0.776
Ag 0.361 0.361 0.802
Ag 0.639 0.639 0.198

=====

No. 10
Li3Ca4Ag2 after structural relaxation. Source: the Alexandria database, functional PBE.

Calculated volume = 27.876 Å³ per atom
Total energy = -2.301 eV/atom
N(E_F) = 0.6075 states/eV/atom
Energy of formation = -140 meV per atom

abc: 8.816 8.816 6.894
angles: 106.79 106.79 29.38
Element x y z (fractional)
Li 0.000 0.000 0.000
Li 0.103 0.103 0.715
Li 0.897 0.897 0.285
Ca 0.228 0.228 0.213
Ca 0.430 0.430 0.650
Ca 0.570 0.570 0.350
Ca 0.772 0.772 0.787
Ag 0.390 0.390 0.066
Ag 0.610 0.610 0.934

=====

No. 11
Li12Ca2Ag5 after structural relaxation. Source: the Alexandria database, functional PBE.

Calculated volume = 20.084 Å³ per atom
Total energy = -2.301 eV/atom
N(E_F) = 0.4197 states/eV/atom
Energy of formation = -131 meV per atom

abc: 7.291 7.291 7.291
angles: 83.96 83.96 83.96
Element x y z (fractional)
Li 0.000 0.271 0.729
Li 0.000 0.729 0.271
Li 0.131 0.651 0.651
Li 0.271 0.000 0.729
Li 0.271 0.729 0.000
Li 0.349 0.349 0.869
Li 0.349 0.869 0.349
Li 0.651 0.131 0.651
Li 0.651 0.651 0.131
Li 0.729 0.000 0.271
Li 0.729 0.271 0.000
Li 0.869 0.349 0.349
Ca 0.330 0.330 0.330
Ca 0.670 0.670 0.670
Ag 0.000 0.000 0.500
Ag 0.000 0.500 0.000
Ag 0.103 0.103 0.103
Ag 0.500 0.000 0.000
Ag 0.897 0.897 0.897

=====

No. 12
LiCa2Ag after structural relaxation. Source: the Alexandria database, functional PBE.

Calculated volume = 28.078 Å³ per atom
Total energy = -2.324 eV/atom
Energy relative to the lowest polymorph listed for this composition = 39.5 meV/atom
N(E_F) = 0.5734 states/eV/atom
Energy of formation = -132 meV per atom

abc: 6.516 6.516 5.266
angles: 112.87 112.87 33.34
Element x y z (fractional)
Li 0.000 0.000 0.000
Ca 0.587 0.587 0.587
Ca 0.797 0.797 0.292
Ag 0.323 0.323 0.815

=====

No. 13
Li7CaAg5 after structural relaxation. Source: the Alexandria database, functional PBE.

Calculated volume = 18.955 Å³ per atom
Total energy = -2.462 eV/atom
N(E_F) = 0.3828 states/eV/atom
Energy of formation = -181 meV per atom

abc: 7.188 7.188 7.188
angles: 133.81 97.19 100.52
Element x y z (fractional)
Li 0.000 0.000 0.000
Li 0.019 0.667 0.352
Li 0.306 0.306 0.000
Li 0.314 0.667 0.648
Li 0.438 0.153 0.285
Li 0.868 0.153 0.715
Li 0.879 0.379 0.500
Ca 0.646 0.646 0.000
Ag 0.149 0.158 0.495
Ag 0.149 0.654 0.990
Ag 0.447 0.947 0.500
Ag 0.663 0.158 0.010
Ag 0.663 0.654 0.505

=====

No. 14
LiCa2Ag2 after structural relaxation. Source: the Alexandria database, functional PBE.

Calculated volume = 28.461 Å³ per atom
Total energy = -2.412 eV/atom
Energy relative to the lowest polymorph listed for this composition = 183.8 meV/atom
N(E_F) = 0.5127 states/eV/atom
Energy of formation = -88 meV per atom

abc: 5.847 5.847 5.847
angles: 119.53 119.53 90.81
Element x y z (fractional)
Li 0.000 0.000 0.000
Ca 0.250 0.750 0.500
Ca 0.750 0.250 0.500
Ag 0.337 0.337 0.000
Ag 0.663 0.663 0.000

=====

No. 15
LiCa2Ag3 after structural relaxation. Source: the Alexandria database, functional PBE.

Calculated volume = 22.663 Å³ per atom
Total energy = -2.678 eV/atom
Energy relative to the lowest polymorph listed for this composition = 0.0 meV/atom
N(E_F) = 0.3649 states/eV/atom
Energy of formation = -266 meV per atom

abc: 3.607 3.607 10.450
angles: 90.00 90.00 90.00
Element x y z (fractional)
Li 0.000 0.000 0.000
Ca 0.000 0.000 0.318
Ca 0.000 0.000 0.682
Ag 0.500 0.500 0.136
Ag 0.500 0.500 0.500
Ag 0.500 0.500 0.864

=====

No. 16
Li5Ca2Ag after structural relaxation. Source: the Alexandria database, functional PBE.

Calculated volume = 26.767 Å³ per atom
Total energy = -2.060 eV/atom
N(E_F) = 0.5572 states/eV/atom
Energy of formation = -7 meV per atom

abc: 5.871 5.871 7.437
angles: 112.95 112.95 89.66
Element x y z (fractional)
Li 0.000 0.000 0.000
Li 0.000 0.513 0.001
Li 0.399 0.399 0.287
Li 0.512 0.512 0.999
Li 0.513 0.000 0.001
Ca 0.015 0.515 0.518
Ca 0.515 0.015 0.518
Ag 0.610 0.610 0.705

=====

No. 17
LiCaAg after structural relaxation. Source: the Alexandria database, functional PBE.

Calculated volume = 27.888 Å³ per atom
Total energy = -2.343 eV/atom
Energy relative to the lowest polymorph listed for this composition = 155.6 meV/atom
N(E_F) = 0.2989 states/eV/atom
Energy of formation = -87 meV per atom

abc: 4.909 4.909 4.909
angles: 60.00 60.00 60.00
Element x y z (fractional)
Li 0.000 0.000 0.000
Ca 0.500 0.500 0.500
Ag 0.750 0.750 0.750

=====

No. 18
Li2Ca7Ag2 after structural relaxation. Source: the Alexandria database, functional PBE.

Calculated volume = 35.358 Å³ per atom
Total energy = -2.147 eV/atom
N(E_F) = 0.8769 states/eV/atom
Energy of formation = -7 meV per atom

abc: 7.308 7.308 7.634
angles: 90.00 90.00 107.45
Element x y z (fractional)
Li 0.161 0.161 0.000
Li 0.839 0.839 0.000
Ca 0.000 0.000 0.500
Ca 0.000 0.500 0.237
Ca 0.000 0.500 0.763
Ca 0.500 0.000 0.237
Ca 0.500 0.000 0.763
Ca 0.500 0.500 0.252
Ca 0.500 0.500 0.748
Ag 0.287 0.713 0.500
Ag 0.713 0.287 0.500

=====

No. 19
Li10CaAg3 after structural relaxation. Source: the Alexandria database, functional PBE.

Calculated volume = 21.885 Å³ per atom
Total energy = -2.148 eV/atom
N(E_F) = 0.4612 states/eV/atom
Energy of formation = -27 meV per atom

abc: 9.534 9.534 9.534
angles: 60.00 60.00 60.00
Element x y z (fractional)
Li 0.000 0.000 0.348
Li 0.000 0.000 0.652
Li 0.000 0.348 0.000
Li 0.000 0.348 0.652
Li 0.000 0.652 0.000
Li 0.000 0.652 0.348
Li 0.164 0.612 0.612
Li 0.348 0.000 0.000
Li 0.348 0.000 0.652
Li 0.348 0.652 0.000
Li 0.388 0.388 0.388
Li 0.388 0.388 0.836
Li 0.388 0.836 0.388
Li 0.612 0.164 0.612
Li 0.612 0.612 0.164
Li 0.612 0.612 0.612
Li 0.652 0.000 0.000
Li 0.652 0.000 0.348
Li 0.652 0.348 0.000
Li 0.836 0.388 0.388
Ca 0.250 0.250 0.250
Ca 0.750 0.750 0.750
Ag 0.267 0.267 0.733
Ag 0.267 0.733 0.267
Ag 0.267 0.733 0.733
Ag 0.733 0.267 0.267
Ag 0.733 0.267 0.733
Ag 0.733 0.733 0.267

=====

No. 20
Li2CaAg after structural relaxation. Source: the Alexandria database, functional PBE.

Calculated volume = 23.593 Å³ per atom
Total energy = -2.301 eV/atom
Energy relative to the lowest polymorph listed for this composition = 41.3 meV/atom
N(E_F) = 0.4543 states/eV/atom
Energy of formation = -131 meV per atom

abc: 4.592 4.592 5.816
angles: 113.44 113.44 60.04
Element x y z (fractional)
Li 0.000 0.000 0.000
Li 0.723 0.723 0.168
Ca 0.206 0.206 0.617
Ag 0.415 0.415 0.244